(1)
This record from Alexandria describes a relaxed structure of La16Dy7Er6. The functional is PBE.

Cell lengths 11.4492, 11.4492, 11.4492 Å; angles 60.00, 60.00, 60.00 degrees
Fractional positions:
La: 0.0560 0.6480 0.6480
La: 0.1248 0.1248 0.1248
La: 0.1248 0.1248 0.6256
La: 0.1248 0.6256 0.1248
La: 0.3520 0.3520 0.3520
La: 0.3520 0.3520 0.9440
La: 0.3520 0.9440 0.3520
La: 0.3744 0.8752 0.8752
La: 0.6256 0.1248 0.1248
La: 0.6480 0.0560 0.6480
La: 0.6480 0.6480 0.0560
La: 0.6480 0.6480 0.6480
La: 0.8752 0.3744 0.8752
La: 0.8752 0.8752 0.3744
La: 0.8752 0.8752 0.8752
La: 0.9440 0.3520 0.3520
Dy: 0.0000 0.0000 0.0000
Dy: 0.0000 0.0000 0.5000
Dy: 0.0000 0.5000 0.0000
Dy: 0.0000 0.5000 0.5000
Dy: 0.5000 0.0000 0.0000
Dy: 0.5000 0.0000 0.5000
Dy: 0.5000 0.5000 0.0000
Er: 0.2592 0.2592 0.7408
Er: 0.2592 0.7408 0.2592
Er: 0.2592 0.7408 0.7408
Er: 0.7408 0.2592 0.2592
Er: 0.7408 0.2592 0.7408
Er: 0.7408 0.7408 0.2592

## Properties
The value obtained for the total energy is -4.579 eV/atom. The value obtained for the formation energy is 5.6 eV/f.u. For the density of states at the Fermi level, the calculation gives 1.5207 states/eV per atom. The value obtained for the magnetization is 0.000 μB per formula unit. As for the calculated volume: 1061 Å³/f.u.

(2)
This record from Alexandria describes a relaxed structure of La5Dy2Er. The functional is PBE.

Cell lengths 6.7005, 6.7005, 16.5346 Å; angles 90.00, 90.00, 129.89 degrees
Fractional positions:
La: 0.0316 0.9684 0.7500
La: 0.1140 0.8860 0.0526
La: 0.1140 0.8860 0.4474
La: 0.4227 0.5773 0.0936
La: 0.4227 0.5773 0.4064
La: 0.5773 0.4227 0.5936
La: 0.5773 0.4227 0.9064
La: 0.8860 0.1140 0.5526
La: 0.8860 0.1140 0.9474
La: 0.9684 0.0316 0.2500
Dy: 0.2744 0.7256 0.6364
Dy: 0.2744 0.7256 0.8636
Dy: 0.7256 0.2744 0.1364
Dy: 0.7256 0.2744 0.3636
Er: 0.2484 0.7516 0.2500
Er: 0.7516 0.2484 0.7500

## Properties
The value obtained for the total energy is -4.685 eV/atom. The value obtained for the formation energy is 0.9 eV/f.u. For the density of states at the Fermi level, the calculation gives 1.4189 states/eV per atom. The value obtained for the magnetization is 0.000 μB per formula unit. As for the calculated volume: 285 Å³/f.u.

(3)
This record from Alexandria describes a relaxed structure of La3DyEr2. The functional is PBE.

Cell lengths 10.0733, 10.0733, 10.0733 Å; angles 137.68, 58.06, 142.14 degrees
Fractional positions:
La: 0.2799 0.5299 0.7500
La: 0.3111 0.2409 0.0702
La: 0.3293 0.7591 0.5702
La: 0.6707 0.2409 0.4298
La: 0.6889 0.7591 0.9298
La: 0.7201 0.4701 0.2500
Dy: 0.2200 0.9700 0.2500
Dy: 0.7800 0.0300 0.7500
Er: 0.1443 0.0000 0.6443
Er: 0.1443 0.5000 0.1443
Er: 0.8557 0.0000 0.3557
Er: 0.8557 0.5000 0.8557

## Properties
The value obtained for the total energy is -4.618 eV/atom. The value obtained for the formation energy is 0.8 eV/f.u. For the density of states at the Fermi level, the calculation gives 1.8881 states/eV per atom. The value obtained for the magnetization is 0.000 μB per formula unit. As for the calculated volume: 209 Å³/f.u.

(4)
This record from Alexandria describes a relaxed structure of LaDy8Er2. The functional is PBE.

Cell lengths 9.3482, 9.3482, 9.3482 Å; angles 145.78, 128.22, 63.54 degrees
Fractional positions:
La: 0.0000 0.0000 0.0000
Dy: 0.1537 0.8590 0.2947
Dy: 0.1640 0.6640 0.5000
Dy: 0.2967 0.5000 0.7967
Dy: 0.4357 0.1410 0.2947
Dy: 0.5643 0.8590 0.7053
Dy: 0.7033 0.5000 0.2033
Dy: 0.8360 0.3360 0.5000
Dy: 0.8463 0.1410 0.7053
Er: 0.3009 0.3009 0.0000
Er: 0.6991 0.6991 0.0000

## Properties
The value obtained for the total energy is -4.503 eV/atom. The value obtained for the formation energy is 1.3 eV/f.u. For the density of states at the Fermi level, the calculation gives 1.5152 states/eV per atom. The value obtained for the magnetization is 0.000 μB per formula unit. As for the calculated volume: 357 Å³/f.u.

(5)
This record from Alexandria describes a relaxed structure of La11Dy4Er9. The functional is PBE.

Cell lengths 15.5211, 15.5211, 3.6990 Å; angles 90.00, 90.00, 113.06 degrees
Fractional positions:
La: 0.0000 0.0000 0.0000
La: 0.0426 0.4047 0.0000
La: 0.1596 0.8404 0.0000
La: 0.2927 0.2927 0.0000
La: 0.3683 0.6317 0.0000
La: 0.4047 0.0426 0.0000
La: 0.5953 0.9574 0.0000
La: 0.6317 0.3683 0.0000
La: 0.7073 0.7073 0.0000
La: 0.8404 0.1596 0.0000
La: 0.9574 0.5953 0.0000
Dy: 0.2411 0.4447 0.5000
Dy: 0.4447 0.2411 0.5000
Dy: 0.5553 0.7589 0.5000
Dy: 0.7589 0.5553 0.5000
Er: 0.0688 0.2137 0.5000
Er: 0.1666 0.6316 0.5000
Er: 0.2137 0.0688 0.5000
Er: 0.3684 0.8334 0.5000
Er: 0.5000 0.5000 0.5000
Er: 0.6316 0.1666 0.5000
Er: 0.7863 0.9312 0.5000
Er: 0.8334 0.3684 0.5000
Er: 0.9312 0.7863 0.5000

## Properties
The value obtained for the total energy is -4.667 eV/atom. The value obtained for the formation energy is 1.7 eV/f.u. For the density of states at the Fermi level, the calculation gives 1.4412 states/eV per atom. The value obtained for the magnetization is 0.000 μB per formula unit. As for the calculated volume: 820 Å³/f.u.

(6)
This record from Alexandria describes a relaxed structure of La4Dy5Er4. The functional is PBE.

Cell lengths 9.5253, 9.5253, 9.5253 Å; angles 94.10, 94.10, 149.00 degrees
Fractional positions:
La: 0.1524 0.7712 0.9236
La: 0.2288 0.1524 0.3812
La: 0.7712 0.8476 0.6188
La: 0.8476 0.2288 0.0764
Dy: 0.0000 0.0000 0.0000
Dy: 0.3068 0.5373 0.8441
Dy: 0.4627 0.3068 0.7695
Dy: 0.5373 0.6932 0.2305
Dy: 0.6932 0.4627 0.1559
Er: 0.0766 0.3882 0.4648
Er: 0.3882 0.9234 0.3116
Er: 0.6118 0.0766 0.6884
Er: 0.9234 0.6118 0.5352

## Properties
The value obtained for the total energy is -4.658 eV/atom. The value obtained for the formation energy is 0.4 eV/f.u. For the density of states at the Fermi level, the calculation gives 1.5615 states/eV per atom. The value obtained for the magnetization is 0.000 μB per formula unit. As for the calculated volume: 429 Å³/f.u.

(7)
This record from Alexandria describes a relaxed structure of La3Dy12Er. The functional is PBE.

Cell lengths 5.0640, 5.0640, 20.2665 Å; angles 90.00, 90.00, 90.00 degrees
Fractional positions:
La: 0.0000 0.0000 0.0000
La: 0.0000 0.0000 0.2506
La: 0.0000 0.0000 0.7494
Dy: 0.0000 0.5000 0.1260
Dy: 0.0000 0.5000 0.3784
Dy: 0.0000 0.5000 0.6216
Dy: 0.0000 0.5000 0.8740
Dy: 0.5000 0.0000 0.1260
Dy: 0.5000 0.0000 0.3784
Dy: 0.5000 0.0000 0.6216
Dy: 0.5000 0.0000 0.8740
Dy: 0.5000 0.5000 0.0000
Dy: 0.5000 0.5000 0.2527
Dy: 0.5000 0.5000 0.5000
Dy: 0.5000 0.5000 0.7473
Er: 0.0000 0.0000 0.5000

## Properties
The value obtained for the total energy is -4.631 eV/atom. The value obtained for the formation energy is 0.5 eV/f.u. For the density of states at the Fermi level, the calculation gives 1.5287 states/eV per atom. The value obtained for the magnetization is 0.001 μB per formula unit. As for the calculated volume: 520 Å³/f.u.

(8)
This record from Alexandria describes a relaxed structure of La2Dy7Er. The functional is PBE.

Cell lengths 5.0701, 7.1601, 9.4869 Å; angles 78.79, 74.50, 89.89 degrees
Fractional positions:
La: 0.1984 0.1019 0.1036
La: 0.8016 0.8981 0.8964
Dy: 0.0000 0.0000 0.5000
Dy: 0.1983 0.5984 0.1034
Dy: 0.4014 0.6971 0.6972
Dy: 0.4024 0.2031 0.6947
Dy: 0.5976 0.7969 0.3053
Dy: 0.5986 0.3029 0.3028
Dy: 0.8017 0.4016 0.8966
Er: 0.0000 0.5000 0.5000

## Properties
The value obtained for the total energy is -4.637 eV/atom. The value obtained for the formation energy is 0.3 eV/f.u. For the density of states at the Fermi level, the calculation gives 1.4480 states/eV per atom. The value obtained for the magnetization is 0.000 μB per formula unit. As for the calculated volume: 325 Å³/f.u.

(9)
This record from Alexandria describes a relaxed structure of La2DyEr2. The functional is PBE.

Cell lengths 8.5685, 8.5685, 6.8345 Å; angles 102.83, 102.83, 43.72 degrees
Fractional positions:
La: 0.1139 0.2851 0.1512
La: 0.2851 0.1139 0.6512
La: 0.7149 0.8861 0.3488
La: 0.8861 0.7149 0.8488
Dy: 0.0843 0.9157 0.2500
Dy: 0.9157 0.0843 0.7500
Er: 0.3228 0.4863 0.5499
Er: 0.4863 0.3228 0.0499
Er: 0.5137 0.6772 0.9501
Er: 0.6772 0.5137 0.4501

## Properties
The value obtained for the total energy is -4.690 eV/atom. The value obtained for the formation energy is 0.1 eV/f.u. For the density of states at the Fermi level, the calculation gives 1.6370 states/eV per atom. The value obtained for the magnetization is 0.000 μB per formula unit. As for the calculated volume: 168 Å³/f.u.

Question: The lowest calculated volume belongs to which entry?
Answer: La2DyEr2

Question: calculated volume of number 8 (La2Dy7Er)?
Answer: 325 Å³/f.u.